Entry from Alexandria: an optimized crystal structure of Na4Bi2S (PBE).

ΔE_f (raw): -277 meV per atom

Cell lengths 5.8778, 5.8778, 14.4008 Å; angles 90.00, 90.00, 90.00 degrees
Space group I4/mmm (No. 139)
Unique sites:
Na1 0.0000 0.0000 0.1772
Na2 0.0000 0.5000 0.0000
Bi1 0.0000 0.0000 0.3990
S1 0.0000 0.0000 0.0000